Below is an optimized crystal structure of ZrAl6Pd, with properties calculated at the PBE level.

* E_tot: -38.38 eV for the cell shown
* M_tot: 0.000 μB per atom
* D(E_F): 5.0 states/eV/f.u.
* volume: 16.93 Å³/atom
* energy of formation from the pure elements: -272 meV per atom

Cell lengths 2.9644, 6.7600, 6.7600 Å; angles 89.99, 90.00, 90.00 degrees
Last column: nearest neighbours and their distance in Å.
Element x y z (fractional)
Al: 0.5000 0.5000 0.0000  10 Al 2.82-2.96
Al: 0.0000 0.2669 0.7331  2 Pd 2.68, 6 Al 2.82-2.96, 2 Zr 2.95
Al: 0.5000 0.0000 0.5000  10 Al 2.82-2.96
Al: 0.0000 0.2669 0.2669  2 Pd 2.68, 6 Al 2.82-2.96, 2 Zr 2.95
Al: 0.0000 0.7331 0.2669  2 Pd 2.68, 6 Al 2.82-2.96, 2 Zr 2.95
Al: 0.0000 0.7331 0.7331  2 Pd 2.68, 6 Al 2.82-2.96, 2 Zr 2.95
Pd: 0.5000 0.5000 0.5000  8 Al 2.68, 2 Pd 2.96
Zr: 0.5000 0.0000 0.0000  8 Al 2.95, 2 Zr 2.96

Below is an optimized crystal structure of Sr6Ag2N, with properties calculated at the PBE level.

* formation energy from raw total energies: -324 meV per atom
* E_tot: -54.07 eV for the cell shown
* distance to the lowest polymorph of the same formula: 0 meV/atom
* M_tot: 0.000 μB per atom
* D(E_F): 4.7 states/eV/f.u.
* volume: 35.57 Å³/atom

Cell lengths 7.4013, 8.2058, 10.5449 Å; angles 90.00, 91.37, 90.00 degrees
Last column: nearest neighbours and their distance in Å.
Element x y z (fractional)
Sr: 0.7037 0.1635 0.5520  1 N 2.64
Sr: 0.8441 0.7137 0.5537  1 N 2.68
Sr: 0.1102 0.0271 0.7354  1 N 2.60
Sr: 0.7963 0.6635 0.9480  1 N 2.64
Sr: 0.1559 0.2863 0.4463  1 N 2.68
Sr: 0.2963 0.8365 0.4480  1 N 2.64
Sr: 0.3441 0.7863 0.0537  1 N 2.68
Sr: 0.6102 0.4729 0.2354  1 N 2.60
Sr: 0.2037 0.3365 0.0520  1 N 2.64
Sr: 0.6559 0.2137 0.9463  1 N 2.68
Sr: 0.8898 0.9729 0.2646  1 N 2.60
Sr: 0.3898 0.5271 0.7646  1 N 2.60
Ag: 0.4619 0.0979 0.2498  6 Sr 3.25-3.47
Ag: 0.5381 0.9021 0.7502  6 Sr 3.25-3.47
Ag: 0.0381 0.5979 0.2502  6 Sr 3.25-3.47
Ag: 0.9619 0.4021 0.7498  6 Sr 3.25-3.47
N: 0.5000 0.5000 0.0000  6 Sr 2.60-2.68
N: 0.0000 0.0000 0.5000  6 Sr 2.60-2.68

Below is an optimized crystal structure of Sc2TaCo, with properties calculated at the PBE level.

* E_tot: -31.46 eV for the cell shown
* distance to the lowest polymorph of the same formula: 121 meV/atom
* M_tot: 0.000 μB per atom
* D(E_F): 4.4 states/eV/f.u.
* volume: 17.73 Å³/atom
* energy of formation from the pure elements: 40 meV per atom

Cell lengths 5.5261, 5.5261, 4.6229 Å; angles 65.27, 65.27, 33.96 degrees
Last column: nearest neighbours and their distance in Å.
Element x y z (fractional)
Sc: 0.5402 0.5402 0.4598  2 Co 2.57
Sc: 0.9598 0.9598 0.0402  2 Co 2.57
Co: 0.2500 0.2500 0.2500  4 Sc 2.57, 4 Ta 2.82
Ta: 0.7500 0.7500 0.7500  4 Co 2.82, 4 Sc 3.05

Below is an optimized crystal structure of TlTc2Ru, with properties calculated at the PBE level.

* E_tot: -30.42 eV for the cell shown
* distance to the lowest polymorph of the same formula: 89 meV/atom
* M_tot: 0.000 μB per atom
* D(E_F): 5.9 states/eV/f.u.
* volume: 16.31 Å³/atom
* energy of formation from the pure elements: 489 meV per atom

Cell lengths 2.8407, 2.8407, 8.0824 Å; angles 90.00, 90.00, 90.00 degrees
Last column: nearest neighbours and their distance in Å.
Element x y z (fractional)
Ru: 0.5000 0.5000 0.7500  8 Tc 2.69, 4 Ru 2.84
Tc: 0.0000 0.0000 0.5285  4 Ru 2.69, 4 Tc 2.84
Tc: 0.0000 0.0000 0.9715  4 Ru 2.69, 4 Tc 2.84
Tl: 0.5000 0.5000 0.2500  4 Tl 2.84, 8 Tc 3.02